[1]
## Ac2La2Au (PBE-GGA)

Data for an optimized crystal structure of Ac2La2Au.

The space group is I4/mmm (No. 139) and the conventional cell measures 3.9103, 3.9103 and 23.5450 Å, with angles of 90.00, 90.00 and 90.00 degrees. Symmetry generates all atoms from Ac at (0.0000, 0.0000, 0.0812), La at (0.0000, 0.0000, 0.3014) and Au at (0.0000, 0.0000, 0.5000).

The spin magnetization comes out at 0.00 μB/f.u. The total energy is -45.633 eV per cell. The formation enthalpy at 0 K is -1.5 eV/f.u.

[2]
## Ac2LaAu (PBE-GGA)

Data for an optimized crystal structure of Ac2LaAu.

The space group is R-3m (No. 166, hexagonal axes) and the conventional cell measures 3.8910, 3.8910 and 36.4709 Å, with angles of 90.00, 90.00 and 120.00 degrees. Symmetry generates all atoms from Ac at (0.0000, 0.0000, 0.0816), La at (0.0000, 0.0000, 0.5000) and Au at (0.0000, 0.0000, 0.0000).

The spin magnetization comes out at 0.00 μB/f.u. The total energy is -47.695 eV per cell. The formation enthalpy at 0 K is 0.5 eV/f.u.

[3]
## Ac3La2Au2 (PBE-GGA)

Data for an optimized crystal structure of Ac3La2Au2.

The space group is C2/m (No. 12) and the conventional cell measures 13.5504, 4.0846 and 9.8746 Å, with angles of 90.00, 114.89 and 90.00 degrees. Symmetry generates all atoms from Ac at (0.0000, 0.0000, 0.0000), Ac at (0.1137, 0.0000, 0.4402), La at (0.1634, 0.5000, 0.8181) and Au at (0.1710, 0.5000, 0.2245).

The spin magnetization comes out at 0.00 μB/f.u. The total energy is -63.727 eV per cell. The formation enthalpy at 0 K is -3.1 eV/f.u.

- Which formula does entry 2 have?
  Ac2LaAu

Please write out number 1 again, unchanged.
## Ac2La2Au (PBE-GGA)

Data for an optimized crystal structure of Ac2La2Au.

The space group is I4/mmm (No. 139) and the conventional cell measures 3.9103, 3.9103 and 23.5450 Å, with angles of 90.00, 90.00 and 90.00 degrees. Symmetry generates all atoms from Ac at (0.0000, 0.0000, 0.0812), La at (0.0000, 0.0000, 0.3014) and Au at (0.0000, 0.0000, 0.5000).

The spin magnetization comes out at 0.00 μB/f.u. The total energy is -45.633 eV per cell. The formation enthalpy at 0 K is -1.5 eV/f.u.

- Look up the spin magnetization of the second one.
  0.00 μB/f.u.